First-principles (PBE-GGA) data for Zn2CoPd2 after structural relaxation, as listed in Alexandria via LeMat-Bulk.

## Properties
Mass density: 9.12 Mg/m³
DFT total energy: -4.1107 eV per atom
Formation energy: -0.103 eV per atom

```
Zn2CoPd2
1.0
-4.2105 -5.6559 1.0264
4.8244 -4.1687 -3.1808
1.2661 -0.4799 2.5492
Co Pd Zn
2 4 4
Direct
0.5000 0.5000 0.0000
0.0000 0.0000 0.0000
0.8335 0.3335 0.5000
0.3335 0.1665 0.5000
0.6665 0.8335 0.5000
0.1665 0.6665 0.5000
0.1328 0.3672 0.0000
0.6328 0.1328 0.0000
0.3672 0.8672 0.0000
0.8672 0.6328 0.0000
```

First-principles (PBE-GGA) data for Zn2Co2Pd after structural relaxation, as listed in Alexandria via LeMat-Bulk.

## Properties
Mass density: 8.86 Mg/m³
DFT total energy: -4.3593 eV per atom
Energy above the lowest structure with this stoichiometry: 0.000 eV/atom
Formation energy: 0.031 eV per atom

```
Zn2Co2Pd
1.0
-1.4146 6.7604 1.3510
-3.4218 0.5088 -6.1287
-2.2842 -0.7209 1.2155
Zn Co Pd
4 4 2
Direct
0.3172 0.1828 0.5000
0.6828 0.8172 0.5000
0.1828 0.6828 0.5000
0.8172 0.3172 0.5000
0.8878 0.6122 0.0000
0.6122 0.1122 0.0000
0.3878 0.8878 0.0000
0.1122 0.3878 0.0000
0.0000 0.0000 0.0000
0.5000 0.5000 0.0000
```

First-principles (PBE-GGA) data for Zn2CoPd8 after structural relaxation, as listed in Alexandria via LeMat-Bulk.

## Properties
Mass density: 10.64 Mg/m³
DFT total energy: -4.8545 eV per atom
Energy above the lowest structure with this stoichiometry: 0.000 eV/atom
Formation energy: -0.200 eV per atom

```
Zn2CoPd8
1.0
3.8321 0.0000 -1.1016
-0.6072 5.7697 -2.1122
-0.0140 0.4717 7.1675
Pd Zn Co
8 2 1
Direct
0.4028 0.5449 0.8056
0.0430 0.7323 0.0861
0.3218 0.0823 0.6436
0.5972 0.4551 0.1944
0.9570 0.2677 0.9139
0.1418 0.1926 0.2836
0.6782 0.9177 0.3564
0.8582 0.8074 0.7164
0.7770 0.3537 0.5540
0.2230 0.6463 0.4460
0.5000 0.0000 0.0000
```

First-principles (PBE-GGA) data for ZnCo2Pd4 after structural relaxation, as listed in Alexandria via LeMat-Bulk.

## Properties
Mass density: 7.83 Mg/m³
DFT total energy: -4.5061 eV per atom
Formation energy: 0.673 eV per atom

```
ZnCo2Pd4
1.0
-2.0116 -0.8116 -4.1133
0.0081 -4.5630 0.8964
-6.3844 -2.1987 0.9275
Co Pd Zn
2 4 1
Direct
0.4042 0.4042 0.1915
0.5958 0.5958 0.8085
0.2047 0.2047 0.5906
0.0000 0.5000 0.0000
0.5000 0.0000 0.0000
0.7953 0.7953 0.4094
0.0000 0.0000 0.0000
```

First-principles (PBE-GGA) data for ZnCoPd3 after structural relaxation, as listed in Alexandria via LeMat-Bulk.

## Properties
Mass density: 7.69 Mg/m³
DFT total energy: -3.9413 eV per atom
Energy above the lowest structure with this stoichiometry: 0.165 eV/atom
Formation energy: 0.850 eV per atom

```
ZnCoPd3
1.0
4.5750 0.0000 0.0000
0.0000 4.5750 0.0000
0.0000 0.0000 4.5750
Pd Zn Co
3 1 1
Direct
0.0000 0.0000 0.5000
0.5000 0.0000 0.0000
0.0000 0.5000 0.0000
0.0000 0.0000 0.0000
0.5000 0.5000 0.5000
```

First-principles (PBE-GGA) data for Zn3CoPd12 after structural relaxation, as listed in Alexandria via LeMat-Bulk.

## Properties
Mass density: 10.71 Mg/m³
DFT total energy: -4.7874 eV per atom
Formation energy: -0.210 eV per atom

```
Zn3CoPd12
1.0
-2.6228 -2.7543 -0.8334
1.8529 -2.4792 2.3622
-8.8626 4.8089 11.9990
Pd Co Zn
12 1 3
Direct
0.0000 0.5000 0.3740
0.0000 0.5000 0.6260
0.5000 0.5000 0.0000
0.0000 0.5000 0.8785
0.5000 0.0000 0.6260
0.5000 0.0000 0.8785
0.0000 0.5000 0.1215
0.5000 0.0000 0.3740
0.5000 0.5000 0.7528
0.5000 0.5000 0.2472
0.5000 0.5000 0.5000
0.5000 0.0000 0.1215
0.0000 0.0000 0.0000
0.0000 0.0000 0.5000
0.0000 0.0000 0.2498
0.0000 0.0000 0.7502
```

First-principles (PBE-GGA) data for Zn2Co2Pd after structural relaxation, as listed in Alexandria via LeMat-Bulk.

## Properties
Mass density: 8.38 Mg/m³
DFT total energy: -4.3345 eV per atom
Energy above the lowest structure with this stoichiometry: 0.025 eV/atom
Formation energy: 0.056 eV per atom

```
Zn2Co2Pd
1.0
-1.5504 -0.8910 -2.7500
1.3480 -2.9833 0.2066
-5.2020 -3.9965 2.2712
Zn Co Pd
2 2 1
Direct
0.3986 0.3986 0.2028
0.6014 0.6014 0.7972
0.2500 0.7500 0.5000
0.7500 0.2500 0.5000
0.0000 0.0000 0.0000
```

First-principles (PBE-GGA) data for Zn2Co2Pd after structural relaxation, as listed in Alexandria via LeMat-Bulk.

## Properties
Mass density: 8.97 Mg/m³
DFT total energy: -4.2929 eV per atom
Energy above the lowest structure with this stoichiometry: 0.066 eV/atom
Formation energy: 0.098 eV per atom

```
Zn2Co2Pd
1.0
6.9050 0.0000 0.0000
0.0000 6.9050 0.0000
0.0000 0.0000 2.7561
Zn Co Pd
4 4 2
Direct
0.3667 0.8667 0.0000
0.6333 0.1333 0.0000
0.1333 0.3667 0.0000
0.8667 0.6333 0.0000
0.8353 0.3353 0.5000
0.3353 0.1647 0.5000
0.6647 0.8353 0.5000
0.1647 0.6647 0.5000
0.5000 0.5000 0.0000
0.0000 0.0000 0.0000
```

First-principles (PBE-GGA) data for ZnCoPd3 after structural relaxation, as listed in Alexandria via LeMat-Bulk.

## Properties
Mass density: 7.72 Mg/m³
DFT total energy: -4.1059 eV per atom
Energy above the lowest structure with this stoichiometry: 0.000 eV/atom
Formation energy: 0.686 eV per atom

```
ZnCoPd3
1.0
-3.9127 -1.4019 -1.8970
1.8971 -4.0538 -0.9170
-1.4018 -1.5730 4.0538
Pd Zn Co
3 1 1
Direct
0.0000 0.0000 0.5000
0.5000 0.0000 0.0000
0.0000 0.5000 0.0000
0.5000 0.5000 0.5000
0.0000 0.0000 0.0000
```

First-principles (PBE-GGA) data for Zn5CoPd4 after structural relaxation, as listed in Alexandria via LeMat-Bulk.

## Properties
Mass density: 9.69 Mg/m³
DFT total energy: -3.8565 eV per atom
Formation energy: -0.432 eV per atom

```
Zn5CoPd4
1.0
3.0576 0.0000 0.0000
0.0000 3.0576 0.0000
0.0000 0.0000 14.8803
Pd Zn Co
4 5 1
Direct
0.0000 0.0000 0.3978
0.0000 0.0000 0.6022
0.0000 0.0000 0.8067
0.0000 0.0000 0.1933
0.5000 0.5000 0.5000
0.5000 0.5000 0.0885
0.5000 0.5000 0.9115
0.5000 0.5000 0.2948
0.5000 0.5000 0.7052
0.0000 0.0000 0.0000
```

First-principles (PBE-GGA) data for Zn2CoPd9 after structural relaxation, as listed in Alexandria via LeMat-Bulk.

## Properties
Mass density: 10.72 Mg/m³
DFT total energy: -4.8800 eV per atom
Formation energy: -0.181 eV per atom

```
Zn2CoPd9
1.0
3.8902 0.0000 0.0000
0.0000 3.8902 0.0000
0.0000 0.0000 11.7442
Pd Zn Co
9 2 1
Direct
0.5000 0.5000 0.0000
0.5000 0.5000 0.6694
0.0000 0.5000 0.1625
0.0000 0.5000 0.8375
0.5000 0.0000 0.8375
0.5000 0.5000 0.3306
0.0000 0.5000 0.5000
0.5000 0.0000 0.1625
0.5000 0.0000 0.5000
0.0000 0.0000 0.6661
0.0000 0.0000 0.3339
0.0000 0.0000 0.0000
```

First-principles (PBE-GGA) data for Zn4CoPd after structural relaxation, as listed in Alexandria via LeMat-Bulk.

## Properties
Mass density: 7.22 Mg/m³
DFT total energy: -2.8948 eV per atom
Formation energy: 0.004 eV per atom

```
Zn4CoPd
1.0
-2.8348 2.8989 0.2499
-2.8328 -0.1424 2.9080
2.1595 4.5962 5.2569
Zn Pd Co
4 1 1
Direct
0.3705 0.3705 0.8881
0.6295 0.6295 0.1119
0.8845 0.8845 0.3471
0.1155 0.1155 0.6529
0.5000 0.5000 0.5000
0.0000 0.0000 0.0000
```

First-principles (PBE-GGA) data for Zr8Co2Pd after structural relaxation, as listed in Alexandria via LeMat-Bulk.

## Properties
Mass density: 7.10 Mg/m³
DFT total energy: -8.1838 eV per atom
Formation energy: -0.203 eV per atom

```
Zr8Co2Pd
1.0
-4.2250 1.9367 -0.0577
-1.1893 -2.7524 -5.2983
-0.1729 -5.7564 6.6748
Zr Co Pd
8 2 1
Direct
0.2013 0.0552 0.4026
0.0306 0.2914 0.0611
0.9694 0.7086 0.9389
0.3219 0.6557 0.6437
0.5937 0.7045 0.1873
0.7987 0.9448 0.5974
0.4063 0.2955 0.8127
0.6781 0.3443 0.3563
0.8310 0.3989 0.6620
0.1690 0.6011 0.3380
0.5000 0.0000 0.0000
```

First-principles (PBE-GGA) data for Zr2Co2Pd after structural relaxation, as listed in Alexandria via LeMat-Bulk.

## Properties
Mass density: 8.11 Mg/m³
DFT total energy: -7.4260 eV per atom
Energy above the lowest structure with this stoichiometry: 0.299 eV/atom
Formation energy: -0.126 eV per atom

```
Zr2Co2Pd
1.0
7.3950 0.0000 0.0000
0.0000 7.3950 0.0000
0.0000 0.0000 3.0448
Zr Co Pd
4 4 2
Direct
0.8429 0.6571 0.0000
0.6571 0.1571 0.0000
0.3429 0.8429 0.0000
0.1571 0.3429 0.0000
0.8642 0.3642 0.5000
0.3642 0.1358 0.5000
0.1358 0.6358 0.5000
0.6358 0.8642 0.5000
0.5000 0.5000 0.0000
0.0000 0.0000 0.0000
```

First-principles (PBE-GGA) data for ZrCo2Pd2 after structural relaxation, as listed in Alexandria via LeMat-Bulk.

## Properties
Mass density: 8.81 Mg/m³
DFT total energy: -6.7324 eV per atom
Energy above the lowest structure with this stoichiometry: 0.027 eV/atom
Formation energy: -0.103 eV per atom

```
ZrCo2Pd2
1.0
3.4614 0.0000 0.0000
0.0000 3.4614 0.0000
1.7307 1.7307 6.6394
Co Pd Zr
2 2 1
Direct
0.2500 0.7500 0.5000
0.7500 0.2500 0.5000
0.3975 0.3975 0.2050
0.6025 0.6025 0.7950
0.0000 0.0000 0.0000
```

First-principles (PBE-GGA) data for ZrCoPd after structural relaxation, as listed in Alexandria via LeMat-Bulk.

## Properties
Mass density: 8.78 Mg/m³
DFT total energy: -7.2729 eV per atom
Formation energy: -0.324 eV per atom

```
ZrCoPd
1.0
3.3085 0.0000 0.0000
0.0000 3.3085 0.0000
-1.6542 -1.6542 4.4347
Co Zr Pd
1 1 1
Direct
0.2904 0.2904 0.5807
0.9408 0.9408 0.8817
0.6188 0.6188 0.2376
```

First-principles (PBE-GGA) data for Zr5Co4Pd after structural relaxation, as listed in Alexandria via LeMat-Bulk.

## Properties
Mass density: 7.92 Mg/m³
DFT total energy: -7.9771 eV per atom
Formation energy: -0.341 eV per atom

```
Zr5Co4Pd
1.0
-1.1171 -2.4660 -1.6753
2.8563 -1.3978 0.1528
-4.4264 -7.5132 14.0114
Co Zr Pd
4 5 1
Direct
0.0000 0.0000 0.7899
0.0000 0.0000 0.2101
0.0000 0.0000 0.4029
0.0000 0.0000 0.5971
0.5000 0.5000 0.1132
0.5000 0.5000 0.8868
0.5000 0.5000 0.6940
0.5000 0.5000 0.5000
0.5000 0.5000 0.3060
0.0000 0.0000 0.0000
```

First-principles (PBE-GGA) data for Zr3Co2Pd after structural relaxation, as listed in Alexandria via LeMat-Bulk.

## Properties
Mass density: 8.11 Mg/m³
DFT total energy: -7.8934 eV per atom
Formation energy: -0.385 eV per atom

```
Zr3Co2Pd
1.0
3.1684 0.0000 0.0000
0.0000 3.1684 0.0000
0.0000 0.0000 10.1553
Zr Co Pd
3 2 1
Direct
0.0000 0.0000 0.6856
0.0000 0.0000 0.3144
0.0000 0.0000 0.0000
0.5000 0.5000 0.8443
0.5000 0.5000 0.1557
0.5000 0.5000 0.5000
```

First-principles (PBE-GGA) data for ZrCoPd after structural relaxation, as listed in Alexandria via LeMat-Bulk.

## Properties
Mass density: 8.54 Mg/m³
DFT total energy: -7.1720 eV per atom
Formation energy: -0.223 eV per atom

```
ZrCoPd
1.0
3.2073 0.0000 0.0000
0.0000 4.2387 0.0000
0.0000 -2.1193 3.6708
Zr Pd Co
1 1 1
Direct
0.6667 0.6667 0.3333
0.1669 0.0000 0.0000
0.1664 0.3333 0.6667
```

First-principles (PBE-GGA) data for ZrCo4Pd after structural relaxation, as listed in Alexandria via LeMat-Bulk.

## Properties
Mass density: 9.03 Mg/m³
DFT total energy: -7.2838 eV per atom
Formation energy: -0.256 eV per atom

```
ZrCo4Pd
1.0
-3.6626 1.4439 2.7985
-4.4734 -1.6081 -0.8565
-2.0750 -3.1106 3.0577
Pd Zr Co
1 1 4
Direct
0.2500 0.2500 0.2500
0.0000 0.0000 0.0000
0.6241 0.6241 0.1277
0.1277 0.6241 0.6241
0.6241 0.6241 0.6241
0.6241 0.1277 0.6241
```